No. 1
# Y2FeH2 | Alexandria | PBE-GGA | optimized geometry
data_Y2FeH2
_cell_length_a 3.426
_cell_length_b 3.426
_cell_length_c 12.504
_cell_angle_alpha 90.00
_cell_angle_beta 90.00
_cell_angle_gamma 90.00
_symmetry_space_group_name_H-M 'I 4/m m m'
_symmetry_Int_Tables_number 139
_symmetry_space_group_name_Hall '-I 4 2'
loop_
_atom_site_label
_atom_site_fract_x
_atom_site_fract_y
_atom_site_fract_z
Y1 0.000 0.000 0.134
Fe1 0.000 0.000 0.500
H1 0.000 0.500 0.250
# DFT total energy = -5.86 eV per atom
# crystal system = tetragonal
# magnetic moment = 0.00 μB per formula unit

---

No. 2
# Ac2Ni6GeIr | Alexandria | PBE-GGA | optimized geometry
data_Ac2Ni6GeIr
_cell_length_a 6.159
_cell_length_b 6.175
_cell_length_c 6.175
_cell_angle_alpha 62.79
_cell_angle_beta 62.83
_cell_angle_gamma 62.71
_symmetry_space_group_name_H-M 'P -1'
_symmetry_Int_Tables_number 2
loop_
_symmetry_equiv_pos_as_xyz
'x,y,z'
'-x,-y,-z'
loop_
_atom_site_label
_atom_site_fract_x
_atom_site_fract_y
_atom_site_fract_z
Ac1 0.197 0.197 0.197
Ni1 0.170 0.325 0.617
Ni2 0.325 0.616 0.170
Ni3 0.383 0.831 0.675
Ge1 0.500 0.500 0.500
Ir1 0.000 0.000 0.000
# crystal system = triclinic
# formation energy from the elements = -268 kJ/mol of formula units
# magnetic moment = 0.00 μB per formula unit